[1]
A relaxed structure of Tm4ZnNi. Source: the Alexandria database, functional GGA-PBE.

Computed properties:
* energy above the most stable polymorph in this dataset: 0 meV per atom
* calculated volume: 562 Å³ per cell
* crystal system: cubic
* E_tot: -107.052 eV per cell

Lattice parameters (Å, degrees): 9.264 9.264 9.264 60.00 60.00 60.00
Element x y z (fractional)
Tm (0.186, 0.814, 0.814)
Tm (0.941, 0.559, 0.559)
Tm (0.559, 0.941, 0.941)
Tm (0.397, 0.397, 0.397)
Tm (0.186, 0.186, 0.814)
Tm (0.559, 0.559, 0.941)
Tm (0.397, 0.809, 0.397)
Tm (0.814, 0.186, 0.814)
Tm (0.941, 0.941, 0.559)
Tm (0.397, 0.397, 0.809)
Tm (0.809, 0.397, 0.397)
Tm (0.814, 0.814, 0.186)
Tm (0.186, 0.814, 0.186)
Tm (0.559, 0.941, 0.559)
Tm (0.814, 0.186, 0.186)
Tm (0.941, 0.559, 0.941)
Ni (0.606, 0.606, 0.606)
Ni (0.606, 0.606, 0.181)
Ni (0.181, 0.606, 0.606)
Ni (0.606, 0.181, 0.606)
Zn (0.171, 0.171, 0.487)
Zn (0.171, 0.171, 0.171)
Zn (0.171, 0.487, 0.171)
Zn (0.487, 0.171, 0.171)

=====

[2]
A relaxed structure of CaTeCN2. Source: the Alexandria database, functional GGA-PBE.

Computed properties:
* energy above the most stable polymorph in this dataset: 0 meV per atom
* calculated volume: 76 Å³ per cell
* crystal system: tetragonal
* energy relative to the elements, uncorrected: 1799 meV per atom
* E_tot: -22.024 eV per cell

Lattice parameters (Å, degrees): 4.157 4.157 4.396 90.00 90.00 90.00
Last column: magnetic moment on the atom in μB.
Element x y z (fractional)
Te (0.000, 0.000, 0.500)  0.10
N (0.500, 0.000, 0.000)  0.60
N (0.000, 0.500, 0.000)  0.60
Ca (0.500, 0.500, 0.500)  0.02
C (0.000, 0.000, 0.000)  -0.02

=====

- Which value of energy above the most stable polymorph in this dataset does entry 2 give?
  0 meV per atom